[1]
Below is an optimized crystal structure of HgI3, with properties calculated at the PBE-GGA level.

## Properties
Its density of states at the Fermi level is 0.000 states/eV/atom. The space group is P-1, No. 2. As for the crystal system: triclinic. The value obtained for the total energy is -5.76 eV/f.u. The calculation puts the offset from the most stable computed form at 18 meV/atom.

a = 7.4052 Å, b = 8.0172 Å, c = 8.3270 Å
α = 113.49°, β = 92.96°, γ = 117.16°
Last column: nearest neighbours and their distance in Å.
Atoms (fractional coordinates):
I 0.7030 0.9087 0.0772  2 Hg 2.84-2.90
I 0.2970 0.0913 0.9228  2 Hg 2.84-2.90
I 0.3777 0.5781 0.4511  1 I 2.87, 1 Hg 3.15
I 0.6223 0.4219 0.5489  1 I 2.87, 1 Hg 3.15
I 0.9137 0.2623 0.6785  1 Hg 2.73
I 0.0863 0.7377 0.3215  1 Hg 2.73
Hg 0.6313 0.0224 0.8082  3 I 2.73-2.90
Hg 0.3687 0.9776 0.1918  3 I 2.73-2.90

[2]
Below is an optimized crystal structure of Hg5I, with properties calculated at the PBE-GGA level.

## Properties
Its density of states at the Fermi level is 0.170 states/eV/atom. The space group is Cmmm, No. 65. As for the crystal system: orthorhombic. The value obtained for the total energy is -3.22 eV/f.u. The calculation puts the offset from the most stable computed form at 0 meV/atom.

a = 6.3507 Å, b = 7.6149 Å, c = 7.6149 Å
α = 148.83°, β = 90.00°, γ = 90.00°
Last column: nearest neighbours and their distance in Å.
Atoms (fractional coordinates):
Hg 0.5000 0.1645 0.8355  4 Hg 3.16-3.24
Hg 0.0000 0.3262 0.6738  2 Hg 3.03, 2 I 3.27
Hg 0.5000 0.5000 0.5000  4 Hg 3.16
Hg 0.0000 0.6738 0.3262  2 Hg 3.03, 2 I 3.27
Hg 0.5000 0.8355 0.1645  4 Hg 3.16-3.24
I 0.0000 0.0000 0.0000  4 Hg 3.27

[3]
Below is an optimized crystal structure of HgI3, with properties calculated at the PBE-GGA level.

## Properties
The space group is P-1, No. 2. As for the crystal system: triclinic. The value obtained for the total energy is -5.36 eV/f.u. The calculation puts the offset from the most stable computed form at 117 meV/atom.

a = 6.2282 Å, b = 8.3449 Å, c = 8.5124 Å
α = 73.38°, β = 76.38°, γ = 80.61°
Last column: nearest neighbours and their distance in Å.
Atoms (fractional coordinates):
I 0.0160 0.7861 0.2892  1 Hg 2.86, 1 I 2.95
I 0.9840 0.2139 0.7108  1 Hg 2.86, 1 I 2.95
I 0.4737 0.2639 0.1986  1 I 2.92, 1 Hg 3.01
I 0.5263 0.7361 0.8014  1 I 2.92, 1 Hg 3.01
I 0.2830 0.7428 0.5444  2 I 2.92-2.95
I 0.7170 0.2572 0.4556  2 I 2.92-2.95
Hg 0.1020 0.5311 0.1111  1 Hg 2.71, 2 I 2.86-3.01
Hg 0.8980 0.4689 0.8889  1 Hg 2.71, 2 I 2.86-3.01

[4]
Below is an optimized crystal structure of HgI3, with properties calculated at the PBE-GGA level.

## Properties
Its density of states at the Fermi level is 0.270 states/eV/atom. The space group is P1, No. 1. As for the crystal system: triclinic. The value obtained for the total energy is -5.18 eV/f.u. The calculation puts the offset from the most stable computed form at 163 meV/atom.

a = 6.4845 Å, b = 7.5231 Å, c = 8.6309 Å
α = 108.76°, β = 112.11°, γ = 98.56°
Last column: nearest neighbours and their distance in Å.
Atoms (fractional coordinates):
I 0.5619 0.6089 0.4214  3 I 3.11-3.27
I 0.7308 0.1833 0.9059  1 I 2.81
I 0.6510 0.3852 0.6758  2 I 2.81-3.11
I 0.2832 0.9290 0.0978  1 Hg 2.92
I 0.8099 0.9226 0.1535  1 Hg 3.19, 3 I 3.28-3.29
I 0.0763 0.5867 0.4571  1 Hg 2.99, 2 I 3.26-3.27
Hg 0.1670 0.0726 0.8089  1 Hg 2.75, 1 I 2.92
Hg 0.0706 0.2483 0.5666  1 Hg 2.75, 1 I 2.99

[5]
Below is an optimized crystal structure of HgI3, with properties calculated at the PBE-GGA level.

## Properties
The space group is P1, No. 1. As for the crystal system: triclinic. The value obtained for the total energy is -5.68 eV/f.u. The calculation puts the offset from the most stable computed form at 38 meV/atom.

a = 4.6601 Å, b = 8.4507 Å, c = 10.9192 Å
α = 109.78°, β = 95.87°, γ = 100.34°
Last column: nearest neighbours and their distance in Å.
Atoms (fractional coordinates):
I 0.4515 0.6218 0.9665  2 Hg 2.84-3.10
I 0.0521 0.1944 0.0432  2 I 2.86-3.07
I 0.9195 0.6011 0.6180  1 Hg 2.69
I 0.6850 0.0827 0.7659  1 Hg 2.73
I 0.4267 0.3547 0.2969  1 I 2.86, 1 Hg 2.90
I 0.1637 0.8657 0.3645  2 Hg 2.84-2.96
Hg 0.5836 0.6657 0.2377  4 I 2.84-2.96
Hg 0.8050 0.4137 0.7708  2 I 2.69-2.73

[6]
Below is an optimized crystal structure of HgI3, with properties calculated at the PBE-GGA level.

## Properties
Its density of states at the Fermi level is 0.000 states/eV/atom. The space group is P1, No. 1. As for the crystal system: triclinic. The value obtained for the total energy is -5.69 eV/f.u. The calculation puts the offset from the most stable computed form at 35 meV/atom.

a = 4.7563 Å, b = 8.7318 Å, c = 10.0335 Å
α = 92.97°, β = 103.65°, γ = 102.77°
Last column: nearest neighbours and their distance in Å.
Atoms (fractional coordinates):
I 0.1077 0.0525 0.7217  1 I 2.78
I 0.9317 0.1559 0.2106  1 Hg 2.63
I 0.8666 0.3540 0.5632  1 Hg 2.66
I 0.5323 0.5054 0.0117  1 Hg 2.66
I 0.4676 0.7035 0.3644  1 Hg 2.63
I 0.2938 0.8068 0.8532  1 I 2.78
Hg 0.6979 0.4287 0.7873  2 I 2.66
Hg 0.1995 0.9297 0.2876  2 I 2.63

[7]
Below is an optimized crystal structure of HgI3, with properties calculated at the PBE-GGA level.

## Properties
Its density of states at the Fermi level is 0.333 states/eV/atom. The space group is P1, No. 1. As for the crystal system: triclinic. The value obtained for the total energy is -5.36 eV/f.u. The calculation puts the offset from the most stable computed form at 118 meV/atom.

a = 4.6370 Å, b = 6.0412 Å, c = 6.9366 Å
α = 80.18°, β = 89.84°, γ = 82.28°
Last column: nearest neighbours and their distance in Å.
Atoms (fractional coordinates):
Hg 0.4632 0.8722 0.2980  4 I 2.78-3.04
I 0.5547 0.5171 0.6181  1 Hg 2.80
I 0.8895 0.1773 0.3133  2 Hg 2.89-3.04
I 0.2534 0.8226 0.9354  1 Hg 2.78

[8]
Below is an optimized crystal structure of Hg13I, with properties calculated at the PBE-GGA level.

## Properties
Its density of states at the Fermi level is 0.283 states/eV/atom. The space group is R-3c, No. 167. As for the crystal system: trigonal. The value obtained for the total energy is -5.30 eV/f.u.

a = 10.6340 Å, b = 10.6167 Å, c = 10.6353 Å
α = 59.91°, β = 59.97°, γ = 59.91°
Last column: nearest neighbours and their distance in Å.
Atoms (fractional coordinates):
Hg 0.4456 0.5540 0.1949  9 Hg 3.04-3.40
Hg 0.1949 0.8055 0.4456  7 Hg 3.04-3.40
Hg 0.8051 0.1945 0.5544  7 Hg 3.04-3.40
Hg 0.5544 0.4460 0.8051  9 Hg 3.04-3.40
Hg 0.5539 0.8056 0.1950  7 Hg 3.04-3.40
Hg 0.8055 0.5539 0.4455  8 Hg 3.04-3.40
Hg 0.1945 0.4461 0.5545  8 Hg 3.04-3.40
Hg 0.4461 0.1944 0.8050  7 Hg 3.04-3.40
Hg 0.8050 0.4461 0.1945  8 Hg 3.04-3.40
Hg 0.5545 0.1944 0.4461  8 Hg 3.04-3.40
Hg 0.4455 0.8056 0.5539  8 Hg 3.04-3.40
Hg 0.1950 0.5539 0.8055  8 Hg 3.04-3.40
Hg 0.3051 0.9460 0.0544  8 Hg 3.04-3.40
Hg 0.0544 0.6945 0.3051  8 Hg 3.04-3.40
Hg 0.9456 0.3055 0.6949  8 Hg 3.04-3.40
Hg 0.6949 0.0540 0.9456  8 Hg 3.04-3.40
Hg 0.3050 0.6944 0.9461  7 Hg 3.04-3.40
Hg 0.0545 0.9461 0.6945  8 Hg 3.04-3.40
Hg 0.9455 0.0539 0.3055  8 Hg 3.04-3.40
Hg 0.6950 0.3056 0.0539  7 Hg 3.04-3.40
Hg 0.3055 0.0539 0.6950  8 Hg 3.04-3.40
Hg 0.0539 0.3056 0.9455  8 Hg 3.04-3.40
Hg 0.9461 0.6944 0.0545  8 Hg 3.04-3.40
Hg 0.6945 0.9461 0.3050  8 Hg 3.04-3.40
Hg 0.5000 0.5000 0.5000  12 Hg 3.29-3.30
Hg 0.0000 0.0000 0.0000  12 Hg 3.29-3.30
I 0.7500 0.7500 0.7500  24 Hg 4.32-4.34
I 0.2500 0.2500 0.2500  24 Hg 4.32-4.34

[9]
Below is an optimized crystal structure of Hg3I4, with properties calculated at the PBE-GGA level.

## Properties
The space group is C2/m, No. 12. As for the crystal system: monoclinic. The value obtained for the total energy is -8.84 eV/f.u.

a = 4.8386 Å, b = 4.5031 Å, c = 16.8768 Å
α = 84.18°, β = 90.00°, γ = 122.50°
Last column: nearest neighbours and their distance in Å.
Atoms (fractional coordinates):
Hg 0.5925 0.1850 0.9273  1 Hg 2.68, 1 I 2.82
Hg 0.5000 0.0000 0.5000  2 I 2.67
Hg 0.4075 0.8150 0.0727  1 Hg 2.68, 1 I 2.82
I 0.9231 0.8462 0.8311  1 Hg 2.82
I 0.0769 0.1538 0.1689  1 Hg 2.82
I 0.7826 0.5651 0.3889  1 Hg 2.67
I 0.2174 0.4349 0.6111  1 Hg 2.67

[10]
Below is an optimized crystal structure of Hg7I, with properties calculated at the PBE-GGA level.

## Properties
Its density of states at the Fermi level is 0.198 states/eV/atom. The space group is I4/mmm, No. 139. As for the crystal system: tetragonal. The value obtained for the total energy is -3.74 eV/f.u.

a = 5.4498 Å, b = 5.4498 Å, c = 9.0302 Å
α = 107.56°, β = 107.56°, γ = 90.00°
Last column: nearest neighbours and their distance in Å.
Atoms (fractional coordinates):
Hg 0.8649 0.3649 0.7297  6 Hg 3.25-3.51, 2 I 3.51
Hg 0.7437 0.7437 0.4874  8 Hg 3.25-3.37
Hg 0.6351 0.1351 0.2703  6 Hg 3.25-3.51, 2 I 3.51
Hg 0.5000 0.5000 0.0000  8 Hg 3.51, 4 I 3.85
Hg 0.3649 0.8649 0.7297  6 Hg 3.25-3.51, 2 I 3.51
Hg 0.2563 0.2563 0.5126  8 Hg 3.25-3.37
Hg 0.1351 0.6351 0.2703  6 Hg 3.25-3.51, 2 I 3.51
I 0.0000 0.0000 0.0000  12 Hg 3.51-3.85

[11]
Below is an optimized crystal structure of HgI3, with properties calculated at the PBE-GGA level.

## Properties
Its density of states at the Fermi level is 0.388 states/eV/atom. The space group is I4/mmm, No. 139. As for the crystal system: tetragonal. The value obtained for the total energy is -4.82 eV/f.u. The calculation puts the offset from the most stable computed form at 252 meV/atom.

a = 9.1295 Å, b = 9.1295 Å, c = 9.1295 Å
α = 151.37°, β = 151.37°, γ = 40.93°
Last column: nearest neighbours and their distance in Å.
Atoms (fractional coordinates):
Hg 0.0000 0.0000 0.0000  4 I 3.19
I 0.7500 0.2500 0.5000  4 I 3.19
I 0.2500 0.7500 0.5000  4 I 3.19
I 0.5000 0.5000 0.0000  4 Hg 3.19

[12]
Below is an optimized crystal structure of In3Hg2I2, with properties calculated at the PBE-GGA level.

## Properties
Its density of states at the Fermi level is 0.299 states/eV/atom. The space group is P2/m, No. 10. As for the crystal system: monoclinic. The value obtained for the total energy is -12.75 eV/f.u.

a = 4.5261 Å, b = 4.9424 Å, c = 14.5888 Å
α = 57.76°, β = 90.00°, γ = 90.00°
Last column: nearest neighbours and their distance in Å.
Atoms (fractional coordinates):
In 0.0000 0.9097 0.6210  1 Hg 2.99, 1 In 3.15, 2 I 3.22
In 0.0000 0.0000 0.0000  4 Hg 3.07-3.09
In 0.0000 0.0903 0.3790  1 Hg 2.99, 1 In 3.15, 2 I 3.22
Hg 0.0000 0.7370 0.8513  3 In 2.99-3.09
Hg 0.0000 0.2630 0.1487  3 In 2.99-3.09
I 0.5000 0.6168 0.3285  4 In 3.22-3.60
I 0.5000 0.3832 0.6715  4 In 3.22-3.60

Formation energy without anion corrections for every record listed, in sequence, given in eV per formula unit: -0.8, -0.2, -0.4, -0.2, -0.7, -0.7, -0.4, 0.2, -1.7, -0.1, 0.1, -0.8.